TiNi4Sb | PBE | relaxed

a b c (Å): 4.8174 4.8174 4.8174
angles (deg): 60.00 60.00 60.00
Sites, in units of the cell vectors:
1 Sb 0.2500 0.2500 0.2500
2 Ti 0.0000 0.0000 0.0000
3 Ni 0.6259 0.6259 0.1222
4 Ni 0.6259 0.1222 0.6259
5 Ni 0.6259 0.6259 0.6259
6 Ni 0.1222 0.6259 0.6259

Output
Formation energy from raw total energies, meV per atom: -240
E above lowest polymorph, kJ/mol of atoms: 6.9


TiNi4Sb | PBE | relaxed

a b c (Å): 3.5082 4.5158 11.7873
angles (deg): 68.81 90.00 112.86
Sites, in units of the cell vectors:
1 Ti 0.2500 0.0000 0.2500
2 Ti 0.7500 0.0000 0.7500
3 Ni 0.9914 0.4828 0.1766
4 Ni 0.5086 0.5172 0.3234
5 Ni 0.0086 0.5172 0.8234
6 Ni 0.4914 0.4828 0.6766
7 Ni 0.2399 0.9797 0.5925
8 Ni 0.2602 0.0203 0.9075
9 Ni 0.7601 0.0203 0.4075
10 Ni 0.7398 0.9797 0.0925
11 Sb 0.5000 0.5000 0.0000
12 Sb 0.0000 0.5000 0.5000

Output
Formation energy from raw total energies, meV per atom: -312
E above lowest polymorph, kJ/mol of atoms: 0.0


TiNi9Sb2 | PBE | relaxed

a b c (Å): 3.7007 3.7007 11.0267
angles (deg): 90.00 90.00 90.00
Sites, in units of the cell vectors:
1 Ti 0.0000 0.0000 0.0000
2 Ni 0.5000 0.5000 0.0000
3 Ni 0.5000 0.5000 0.3311
4 Ni 0.5000 0.5000 0.6689
5 Ni 0.5000 0.0000 0.1581
6 Ni 0.5000 0.0000 0.5000
7 Ni 0.5000 0.0000 0.8419
8 Ni 0.0000 0.5000 0.1581
9 Ni 0.0000 0.5000 0.5000
10 Ni 0.0000 0.5000 0.8419
11 Sb 0.0000 0.0000 0.3293
12 Sb 0.0000 0.0000 0.6707

Output
Formation energy from raw total energies, meV per atom: -249


TiNiSb2 | PBE | relaxed

a b c (Å): 3.2541 3.2541 9.3714
angles (deg): 80.00 80.00 60.00
Sites, in units of the cell vectors:
1 Sb 0.1005 0.1005 0.6985
2 Sb 0.8995 0.8995 0.3015
3 Ti 0.0000 0.0000 0.0000
4 Ni 0.5000 0.5000 0.5000

Output
Formation energy from raw total energies, meV per atom: 218


Ti3NiSb2 | PBE | relaxed

a b c (Å): 4.1500 9.5353 10.8151
angles (deg): 90.00 90.00 90.00
Sites, in units of the cell vectors:
1 Ti 0.2500 0.3672 0.0582
2 Ti 0.7500 0.6328 0.9418
3 Ti 0.7500 0.8672 0.4418
4 Ti 0.2500 0.1328 0.5582
5 Ti 0.2500 0.7078 0.2446
6 Ti 0.7500 0.2922 0.7554
7 Ti 0.7500 0.2078 0.2554
8 Ti 0.2500 0.7922 0.7446
9 Ti 0.2500 0.4113 0.3371
10 Ti 0.7500 0.5887 0.6629
11 Ti 0.7500 0.9113 0.1629
12 Ti 0.2500 0.0887 0.8371
13 Ni 0.2500 0.0818 0.1000
14 Ni 0.7500 0.9182 0.9000
15 Ni 0.7500 0.5818 0.4000
16 Ni 0.2500 0.4182 0.6000
17 Sb 0.2500 0.6770 0.5044
18 Sb 0.7500 0.3230 0.4956
19 Sb 0.7500 0.1770 0.9956
20 Sb 0.2500 0.8230 0.0044
21 Sb 0.2500 0.0069 0.3250
22 Sb 0.7500 0.9931 0.6750
23 Sb 0.7500 0.5069 0.1750
24 Sb 0.2500 0.4931 0.8250

Output
Formation energy from raw total energies, meV per atom: -428


Ti2NiSb | PBE | relaxed

a b c (Å): 3.9646 3.9646 5.4477
angles (deg): 90.00 90.00 120.00
Sites, in units of the cell vectors:
1 Ti 0.3333 0.6667 0.1943
2 Ti 0.6667 0.3333 0.8057
3 Ni 0.0000 0.0000 0.0000
4 Sb 0.0000 0.0000 0.5000

Output
Formation energy from raw total energies, meV per atom: -202